DFT (PBE-GGA) results for a relaxed structure of Na3Pu3AgS8.

## Properties
Its density of states at the Fermi level is 22.995 states/eV per cell. Its raw formation energy is -119 kJ per mole of atoms.

Geometry as CIF:
```
data_Na3Pu3AgS8
_space_group_name_H-M_alt 'P -1'
_space_group_IT_number 2
_space_group_name_Hall '-P 1'
_cell_length_a 7.879
_cell_length_b 7.885
_cell_length_c 8.048
_cell_angle_alpha 60.68
_cell_angle_beta 89.99
_cell_angle_gamma 60.05
loop_
_atom_site_label
_atom_site_fract_x
_atom_site_fract_y
_atom_site_fract_z
Na1 0.000 0.000 0.000
Na2 0.000 0.500 0.000
Na3 0.500 0.000 0.000
Pu1 0.000 0.000 0.500
Pu2 0.500 0.000 0.500
Pu3 0.500 0.500 0.500
Ag1 0.000 0.500 0.500
S1 0.245 0.526 0.720
S2 0.246 0.007 0.721
S3 0.258 0.985 0.272
S4 0.273 0.474 0.279
```